! RbAlCrCl6 PBE optimized geometry; values from VASP
! E_tot = -76.42 eV per cell
! crystal system = trigonal
! E_form (uncorrected) = -1422 meV/atom
! D(E_F) = 0.72 states/eV/atom
&SYSTEM
  ibrav = 0, nat = 18, ntyp = 4
/
ATOMIC_SPECIES
Rb 85.47 Rb.upf
Al 26.98 Al.upf
Cr 52.00 Cr.upf
Cl 35.45 Cl.upf
CELL_PARAMETERS angstrom
6.376 0.000 0.000
-3.188 5.522 0.000
0.000 0.000 14.764
ATOMIC_POSITIONS angstrom
Rb 0.000 0.000 0.000
Rb 0.000 0.000 7.382
Al 0.000 3.681 3.691
Al 3.188 1.841 11.073
Cr 0.000 3.681 11.073
Cr 3.188 1.841 3.691
Cl -1.095 2.104 2.331
Cl -1.914 3.522 5.051
Cl 1.095 2.104 5.051
Cl -0.818 5.418 2.331
Cl 2.370 0.104 9.713
Cl 1.274 2.000 12.432
Cl 1.914 3.522 2.331
Cl 0.818 5.418 5.051
Cl 4.007 0.104 12.432
Cl 2.093 3.418 9.713
Cl 5.102 2.000 9.713
Cl 4.283 3.418 12.432